## Tl3ReC (PBE-GGA)

Data for an optimized crystal structure of Tl3ReC.

Cell lengths 4.841, 4.841, 4.841 Å; angles 90.00, 90.00, 90.00 degrees
Site moments in Bohr magnetons follow the coordinates.
Positions (direct):
C1 0.000 0.000 0.000  0.03
Re1 0.500 0.500 0.500  3.05
Tl1 0.500 0.000 0.000  -0.03
Tl2 0.000 0.500 0.000  -0.03
Tl3 0.000 0.000 0.500  0.01

Values from the calculation:
M_tot: 3.320 μB/f.u.
electronic total energy: -3.827 eV per atom